<one>
ScTiOF2: relaxed, PBE.

Lattice parameters (Å, degrees): 4.1181 4.1181 3.9266 90.00 90.00 90.00
Fractional positions:
Sc (0.0000, 0.0000, 0.0000)
Ti (0.5000, 0.5000, 0.5000)
O (0.5000, 0.5000, 0.0000)
F (0.0000, 0.5000, 0.5000)
F (0.5000, 0.0000, 0.5000)

<two>
ScTiOF2: relaxed, PBE.

Lattice parameters (Å, degrees): 4.1201 4.1201 4.1281 90.00 90.00 90.00
Fractional positions:
Sc (0.0000, 0.0000, 0.0000)
Ti (0.5000, 0.5000, 0.5000)
O (0.0000, 0.0000, 0.5000)
F (0.0000, 0.5000, 0.0000)
F (0.5000, 0.0000, 0.0000)

Which is most stable, and by how much? <two>, by 30 meV/atom.

<one>
ScZnOF2: relaxed, PBE.

Lattice parameters (Å, degrees): 3.9962 3.9962 3.9552 90.00 90.00 90.00
Fractional positions:
Sc (0.0000, 0.0000, 0.0000)
Zn (0.5000, 0.5000, 0.5000)
O (0.5000, 0.5000, 0.0000)
F (0.0000, 0.5000, 0.5000)
F (0.5000, 0.0000, 0.5000)

<two>
ScZnOF2: relaxed, PBE.

Lattice parameters (Å, degrees): 4.1215 4.1215 4.1256 90.00 90.00 90.00
Fractional positions:
Sc (0.0000, 0.0000, 0.0000)
Zn (0.5000, 0.5000, 0.5000)
O (0.0000, 0.0000, 0.5000)
F (0.0000, 0.5000, 0.0000)
F (0.5000, 0.0000, 0.0000)

Which is most stable, and by how much? <two>, by 568 meV/atom.